DFT (PBE) results for Nd2NpAs3Rh4 after structural relaxation.

Summary:
- raw total energy (eV/cell) = -74.173
- V (A^3/atom) = 19.6
- total moment (μB/cell) = 3.77

The structure in CIF format:
```
data_Nd2NpAs3Rh4
_chemical_formula_sum 'Nd2 Np1 As3 Rh4'
_symmetry_space_group_name_H-M 'P -4 m 2'
_symmetry_Int_Tables_number 115
_cell_length_a 4.174
_cell_length_b 4.174
_cell_length_c 11.241
_cell_angle_alpha 90.00
_cell_angle_beta 90.00
_cell_angle_gamma 90.00
loop_
_symmetry_equiv_pos_as_xyz
'x,y,z'
'y,-x,-z'
'-x,-y,z'
'-y,x,-z'
'-x,y,z'
'-y,-x,-z'
'x,-y,z'
'y,x,-z'
loop_
_atom_site_label
_atom_site_type_symbol
_atom_site_fract_x
_atom_site_fract_y
_atom_site_fract_z
_atom_site_occupancy
Nd1 Nd 0.000 0.500 0.224 1
Np1 Np 0.000 0.000 0.500 1
As1 As 0.000 0.500 0.870 1
As2 As 0.500 0.500 0.500 1
Rh1 Rh 0.000 0.000 0.000 1
Rh2 Rh 0.000 0.500 0.652 1
Rh3 Rh 0.500 0.500 0.000 1
```